one | Compound: CrIn2Ni
Source: Alexandria
Functional: SCAN
Structure: single point on PBEsol structure

Unit cell a=5.474 b=5.474 c=5.474 alpha=146.62 beta=132.50 gamma=59.30
Element x y z (fractional)
Cr  0.000  0.000  0.000
In  0.273  0.773  0.500
In  0.557  0.557  0.000
Ni  0.793  0.293  0.500

Computed properties:
Fermi-level density of states (states/eV/atom): 0.5824
Crystal system: orthorhombic

two | Compound: CrIn2Ni
Source: Alexandria
Functional: SCAN
Structure: single point on PBEsol structure

Unit cell a=4.506 b=4.506 c=4.506 alpha=119.91 beta=119.91 gamma=90.16
Element x y z (fractional)
Cr  0.000  0.000  0.000
In  0.250  0.750  0.500
In  0.750  0.250  0.500
Ni  0.500  0.500  0.000

Computed properties:
Fermi-level density of states (states/eV/atom): 0.3821
Crystal system: tetragonal

Pick the most stable structure from those above. Pick: two